The following is a DFT calculation (PBE with a Hubbard U) of an optimized crystal structure of PrNd2MoO8.

Geometry as CIF:
```
data_PrNd2MoO8
_symmetry_space_group_name_H-M 'P 1'
_symmetry_Int_Tables_number 1
_cell_length_a 5.224
_cell_length_b 5.224
_cell_length_c 7.095
_cell_angle_alpha 90.00
_cell_angle_beta 90.00
_cell_angle_gamma 90.28
loop_
_symmetry_equiv_pos_as_xyz
'x,y,z'
loop_
_atom_site_label
_atom_site_type_symbol
_atom_site_fract_x
_atom_site_fract_y
_atom_site_fract_z
Pr1 Pr 0.000 0.000 0.000
Nd1 Nd 0.500 0.500 0.255
Nd2 Nd 0.500 0.500 0.745
Mo1 Mo 0.000 0.000 0.500
O1 O 0.179 0.821 0.297
O2 O 0.179 0.821 0.703
O3 O 0.265 0.265 0.500
O4 O 0.311 0.311 0.000
O5 O 0.689 0.689 0.000
O6 O 0.735 0.735 0.500
O7 O 0.821 0.179 0.297
O8 O 0.821 0.179 0.703
```

energy	-91.49	eV/cell
space-group type	Cmmm, No. 65